{"formula": "ScCuHgSb", "functional": "GGA-PBE", "state": "relaxed", "cell": [[0.667, -3.881, -2.894], [-2.848, -3.940, 0.501], [-3.301, -1.081, -3.437]], "species": ["Hg", "Cu", "Sb", "Sc"], "fractional_positions": [[0.500, 0.500, 0.500], [0.750, 0.750, 0.750], [0.000, 0.000, 0.000], [0.250, 0.250, 0.250]], "e_above_lowest_polymorph_kj_per_mol_atoms": 0.0, "total_energy_ry_per_atom": -0.276, "vol_a3_per_cell": 83}

{"formula": "Na2Cd2In2IrPt", "functional": "GGA-PBE", "state": "relaxed", "cell": [[-3.103, 2.273, -2.799], [-1.831, -4.175, -1.359], [-4.392, 0.270, 5.088]], "species": ["In", "In", "Na", "Na", "Pt", "Ir", "Cd", "Cd"], "fractional_positions": [[0.000, 0.500, 0.755], [0.500, 0.000, 0.245], [0.500, 0.500, 0.000], [0.000, 0.000, 0.500], [0.500, 0.500, 0.500], [0.000, 0.000, 0.000], [0.500, 0.000, 0.752], [0.000, 0.500, 0.248]], "total_energy_ry_per_atom": -0.240, "vol_a3_per_cell": 152}

{"formula": "Hf2FeH2", "functional": "GGA-PBE", "state": "relaxed", "cell": [[-1.546, 1.546, 5.955], [1.546, -1.546, 5.955], [1.546, 1.546, -5.955]], "species": ["Hf", "Hf", "H", "H", "Fe"], "fractional_positions": [[0.366, 0.366, 0.000], [0.634, 0.634, 0.000], [0.250, 0.750, 0.500], [0.750, 0.250, 0.500], [0.000, 0.000, 0.000]], "total_energy_ry_per_atom": -0.545, "vol_a3_per_cell": 57}